VCu2O4 | PBE with a Hubbard U | relaxed

Calculated values
Total magnetic moment: 0.149 μB per atom
Energy above the lowest structure with this stoichiometry: 10.34 kJ/mol of atoms
Symmetry: I-42m
Energy: -0.22112 hartree per atom

The structure in CIF format:
```
data_VCu2O4
_cell_length_a 5.228
_cell_length_b 5.228
_cell_length_c 4.901
_cell_angle_alpha 122.23
_cell_angle_beta 122.23
_cell_angle_gamma 90.00
_space_group_name_H-M_alt 'P 1'
_space_group_IT_number 1
_space_group_name_Hall 'P 1'
loop_
_atom_site_label
_atom_site_type_symbol
_atom_site_fract_x
_atom_site_fract_y
_atom_site_fract_z
_atom_site_occupancy
O1 O 0.656 0.074 0.730 1
O2 O 0.074 0.656 0.730 1
O3 O 0.344 0.344 0.270 1
O4 O 0.926 0.926 0.270 1
Cu1 Cu 0.000 0.500 0.000 1
Cu2 Cu 0.500 0.000 0.000 1
V1 V 0.000 0.000 0.000 1
```